Entry 1:
GeTeH2: relaxed, PBEsol.

Summary:
VASP energy: -3.4006 eV/atom
Space-group type: No. 227
N(E_F): 4.0 states/eV per cell
Spin magnetization: 0.0 μB/f.u.
Mass density: 5.61 Mg/m³

abc: 5.531 5.531 5.531
angles: 60.00 60.00 60.00
Sites, in units of the cell vectors:
Ge: 0.125 0.125 0.125
Ge: 0.875 0.875 0.875
Te: 0.375 0.375 0.375
Te: 0.625 0.625 0.625
H: 0.000 0.000 0.000
H: 0.000 0.000 0.500
H: 0.000 0.500 0.000
H: 0.500 0.000 0.000

=====

Entry 2:
SrTe2Se: relaxed, PBEsol.

Summary:
VASP energy: -3.8464 eV/atom
Space-group type: No. 119
N(E_F): 2.5 states/eV per cell
Spin magnetization: 0.0 μB/f.u.
Mass density: 6.34 Mg/m³

abc: 6.373 6.373 6.373
angles: 138.96 138.96 59.43
Sites, in units of the cell vectors:
Sr: 0.000 0.000 0.000
Te: 0.500 0.500 0.000
Te: 0.750 0.250 0.500
Se: 0.250 0.750 0.500

=====

Entry 3:
TaCoSb2: relaxed, PBEsol.

Summary:
VASP energy: -7.3610 eV/atom
Space-group type: No. 99
N(E_F): 3.2 states/eV per cell
Spin magnetization: 0.0 μB/f.u.
Mass density: 10.00 Mg/m³

abc: 3.067 3.067 8.532
angles: 90.00 90.00 90.00
Sites, in units of the cell vectors:
Ta: 0.000 0.000 0.000
Co: 0.500 0.500 0.160
Sb: 0.000 0.000 0.356
Sb: 0.500 0.500 0.747

=====

Entry 4:
Tc3Ru: relaxed, PBEsol.

Summary:
VASP energy: -11.0433 eV/atom
Space-group type: No. 194
N(E_F): 7.1 states/eV per cell
Spin magnetization: 0.0 μB/f.u.
Calculated formation energy: -0.202 eV/f.u.
Relative energy among the computed polymorphs: 0.000 eV per formula unit
Mass density: 11.93 Mg/m³

abc: 5.427 5.427 4.313
angles: 90.00 90.00 120.00
Sites, in units of the cell vectors:
Tc: 0.165 0.331 0.250
Tc: 0.165 0.835 0.250
Tc: 0.331 0.165 0.750
Tc: 0.669 0.835 0.250
Tc: 0.835 0.165 0.750
Tc: 0.835 0.669 0.750
Ru: 0.333 0.667 0.750
Ru: 0.667 0.333 0.250

=====

Entry 5:
MgPd3: relaxed, PBEsol.

Summary:
VASP energy: -5.3397 eV/atom
Space-group type: No. 194
N(E_F): 10.7 states/eV per cell
Spin magnetization: 0.0 μB/f.u.
Calculated formation energy: -1.766 eV/f.u.
Mass density: 9.53 Mg/m³

abc: 5.550 5.550 4.486
angles: 90.00 90.00 120.00
Sites, in units of the cell vectors:
Mg: 0.333 0.667 0.250
Mg: 0.667 0.333 0.750
Pd: 0.166 0.332 0.750
Pd: 0.166 0.834 0.750
Pd: 0.332 0.166 0.250
Pd: 0.668 0.834 0.750
Pd: 0.834 0.166 0.250
Pd: 0.834 0.668 0.250

=====

Entry 6:
Re2RhPb: relaxed, PBEsol.

Summary:
VASP energy: -9.0518 eV/atom
Space-group type: No. 44
N(E_F): 4.8 states/eV per cell
Spin magnetization: 0.0 μB/f.u.
Calculated formation energy: 2.594 eV/f.u.
Mass density: 17.62 Mg/m³

abc: 4.826 4.826 4.826
angles: 131.99 127.91 73.54
Sites, in units of the cell vectors:
Re: 0.000 0.000 0.000
Re: 0.778 0.278 0.500
Rh: 0.262 0.762 0.500
Pb: 0.518 0.518 0.000